DFT (PBE) results for an optimized crystal structure of Li7La3Si4.

```
data_Li7La3Si4
_chemical_formula_sum 'Li14 La6 Si8'
_cell_length_a 16.725
_cell_length_b 4.612
_cell_length_c 8.449
_cell_angle_alpha 90.00
_cell_angle_beta 120.19
_cell_angle_gamma 90.00
_space_group_name_H-M_alt 'C 1 2/m 1'
_space_group_IT_number 12
_space_group_name_Hall '-C 2y'
loop_
_atom_site_label
_atom_site_fract_x
_atom_site_fract_y
_atom_site_fract_z
Li1 0.000 0.000 0.000
Li2 0.015 0.500 0.207
Li3 0.147 0.000 0.953
Li4 0.168 0.500 0.512
La1 0.000 0.000 0.500
La2 0.229 0.500 0.224
Si1 0.133 0.000 0.323
Si2 0.139 0.500 0.786
```

Output
As for the density of states at the Fermi level: 0.202 states/eV/atom. The calculation puts the calculated total energy at -55.6 eV per formula unit. The value obtained for the density is 3.41 g/cm³. The size of the total moment comes out at 0.00 μB/f.u. Its crystal system is monoclinic. Its uncorrected formation energy is -412 meV/atom.

=====

DFT (PBE) results for an optimized crystal structure of Sm4TmAg.

```
data_Sm4TmAg
_chemical_formula_sum 'Sm16 Tm4 Ag4'
_cell_length_a 5.495
_cell_length_b 20.928
_cell_length_c 6.477
_cell_angle_alpha 90.00
_cell_angle_beta 90.00
_cell_angle_gamma 90.00
_space_group_name_H-M_alt 'C m c 21'
_space_group_IT_number 36
_space_group_name_Hall 'C 2c -2'
loop_
_atom_site_label
_atom_site_fract_x
_atom_site_fract_y
_atom_site_fract_z
Sm1 0.000 0.035 0.000
Sm2 0.000 0.178 0.815
Sm3 0.000 0.247 0.288
Sm4 0.000 0.436 0.170
Tm1 0.000 0.366 0.671
Ag1 0.000 0.106 0.408
```

Output
As for the energy above the most stable polymorph in this dataset: 0.67 eV per formula unit. As for the density of states at the Fermi level: 1.169 states/eV/atom. The calculation puts the calculated total energy at -25.9 eV per formula unit. The value obtained for the density is 7.83 g/cm³. The size of the total moment comes out at 0.00 μB/f.u. Its crystal system is orthorhombic. For the formation energy, the calculation gives 0.0422 eV/atom.

=====

DFT (PBE) results for an optimized crystal structure of SiNi2Rh2.

```
data_SiNi2Rh2
_chemical_formula_sum 'Si2 Ni4 Rh4'
_cell_length_a 6.022
_cell_length_b 6.022
_cell_length_c 3.861
_cell_angle_alpha 90.00
_cell_angle_beta 90.00
_cell_angle_gamma 90.00
_space_group_name_H-M_alt 'P 4/m b m'
_space_group_IT_number 127
_space_group_name_Hall '-P 4 2ab'
loop_
_atom_site_label
_atom_site_fract_x
_atom_site_fract_y
_atom_site_fract_z
Si1 0.000 0.000 0.000
Ni1 0.149 0.351 0.500
Rh1 0.149 0.649 0.000
```

Output
As for the energy above the most stable polymorph in this dataset: 0.00 eV per formula unit. As for the density of states at the Fermi level: 0.921 states/eV/atom. The calculation puts the calculated total energy at -32.1 eV per formula unit. The value obtained for the density is 8.33 g/cm³. The size of the total moment comes out at 2.19 μB/f.u. Its crystal system is tetragonal. Its uncorrected formation energy is -86 meV/atom.

=====

DFT (PBE) results for an optimized crystal structure of YScAlCo.

```
data_YScAlCo
_chemical_formula_sum 'Y4 Sc4 Al4 Co4'
_cell_length_a 6.796
_cell_length_b 6.796
_cell_length_c 6.796
_cell_angle_alpha 90.00
_cell_angle_beta 90.00
_cell_angle_gamma 90.00
_space_group_name_H-M_alt 'F -4 3 m'
_space_group_IT_number 216
_space_group_name_Hall 'F -4 2 3'
loop_
_atom_site_label
_atom_site_fract_x
_atom_site_fract_y
_atom_site_fract_z
Y1 0.000 0.000 0.000
Sc1 0.000 0.000 0.500
Al1 0.250 0.250 0.250
Co1 0.250 0.250 0.750
```

Output
As for the density of states at the Fermi level: 0.831 states/eV/atom. The calculation puts the calculated total energy at -24.6 eV per formula unit. The value obtained for the density is 4.65 g/cm³. The size of the total moment comes out at 0.72 μB/f.u. Its crystal system is cubic. For the formation energy, the calculation gives -0.2488 eV/atom.